Material: Sb2SeBr
Method: DFT, PBE
State: optimized geometry

Formation energy without anion corrections in eV/f.u.: 0.01
Distance to the lowest polymorph of the same formula in eV per formula unit: 0.57
Size of the total moment in μB per atom: 0.000
Crystal system: orthorhombic

Structure (extended XYZ):
```
4
Lattice="-3.803 0.682 -0.875 -0.178 -3.304 -1.801 -2.112 -3.430 6.502" Properties=species:S:1:pos:R:3 pbc="T T T"
Sb -2.578 -2.266 0.471
Se -0.867 -1.409 2.670
Sb -0.076 -0.124 0.235
Br -3.627 -3.969 3.701
```